This record from Alexandria via LeMat-Bulk describes Hf2VSbF after structural relaxation. The functional is PBE with a Hubbard U.

Properties
**Calculated volume**: 151.0 Å³ per cell
**DOS(E_F)**: 4.9 states/eV/f.u.
**Total moment**: 6.5 μB/f.u.
**Total energy**: -5.52 eV per atom

a = 5.3646 Å, b = 5.3646 Å, c = 5.2482 Å
α = 90.00°, β = 90.00°, γ = 90.00°
Last column: nearest neighbours and their distance in Å.
Space group P4/mmm (No. 123)
Symmetry-distinct sites (fractional):
Hf: 0.0000 0.5000 0.0000 (multiplicity 2)  2 Sb 2.68
V: 0.0000 0.0000 0.5000 (multiplicity 1)  2 Sb 2.62
Sb: 0.0000 0.0000 0.0000 (multiplicity 1)  2 V 2.62, 4 Hf 2.68
F: 0.5000 0.5000 0.5000 (multiplicity 1)  8 Hf 3.75, 4 V 3.79